# 1
Density functional theory data (PBE) for FeSb2Rh after structural relaxation.

a = 8.154 Å, b = 3.243 Å, c = 5.677 Å
α = 90.00°, β = 103.75°, γ = 90.00°
Atoms (fractional coordinates):
Fe 0.000 0.000 0.000
Fe 0.500 0.500 0.000
Sb 0.248 0.500 0.241
Sb 0.252 0.000 0.759
Sb 0.748 0.000 0.241
Sb 0.752 0.500 0.759
Rh 0.000 0.500 0.500
Rh 0.500 0.000 0.500

Values from the calculation:
Total energy in hartree per atom: -0.2184
N(E_F) in states/eV/f.u.: 3.3
Symmetry: No. 12


# 2
Density functional theory data (PBE) for Fe2Sb8Rh after structural relaxation.

a = 8.183 Å, b = 8.183 Å, c = 4.844 Å
α = 90.00°, β = 90.00°, γ = 120.00°
Atoms (fractional coordinates):
Fe 0.333 0.667 0.247
Fe 0.667 0.333 0.753
Sb 0.158 0.316 0.201
Sb 0.158 0.842 0.201
Sb 0.316 0.158 0.799
Sb 0.333 0.667 0.740
Sb 0.667 0.333 0.260
Sb 0.684 0.842 0.201
Sb 0.842 0.158 0.799
Sb 0.842 0.684 0.799
Rh 0.000 0.000 0.500

Values from the calculation:
Total energy in hartree per atom: -0.1874
N(E_F) in states/eV/f.u.: 6.5
Symmetry: No. 164


# 3
Density functional theory data (PBE) for Fe2SbRh2 after structural relaxation.

a = 6.241 Å, b = 6.241 Å, c = 3.749 Å
α = 90.00°, β = 90.00°, γ = 90.00°
Atoms (fractional coordinates):
Fe 0.124 0.376 0.000
Fe 0.376 0.876 0.000
Fe 0.624 0.124 0.000
Fe 0.876 0.624 0.000
Sb 0.000 0.000 0.000
Sb 0.500 0.500 0.000
Rh 0.152 0.652 0.500
Rh 0.348 0.152 0.500
Rh 0.652 0.848 0.500
Rh 0.848 0.348 0.500

Values from the calculation:
Total energy in hartree per atom: -0.2545
N(E_F) in states/eV/f.u.: 4.8
Symmetry: No. 127


# 4
Density functional theory data (PBE) for FeSb2Rh after structural relaxation.

a = 3.186 Å, b = 3.186 Å, c = 28.878 Å
α = 90.00°, β = 90.00°, γ = 120.00°
Atoms (fractional coordinates):
Fe 0.000 0.000 0.000
Fe 0.333 0.667 0.667
Fe 0.667 0.333 0.333
Sb 0.000 0.000 0.265
Sb 0.000 0.000 0.466
Sb 0.333 0.667 0.133
Sb 0.333 0.667 0.932
Sb 0.667 0.333 0.598
Sb 0.667 0.333 0.800
Rh 0.000 0.000 0.731
Rh 0.333 0.667 0.398
Rh 0.667 0.333 0.065

Values from the calculation:
Total energy in hartree per atom: -0.2135
N(E_F) in states/eV/f.u.: 4.0
Symmetry: No. 160


# 5
Density functional theory data (PBE) for FeSb2Rh after structural relaxation.

a = 3.266 Å, b = 3.266 Å, c = 23.450 Å
α = 90.00°, β = 90.00°, γ = 120.00°
Atoms (fractional coordinates):
Fe 0.000 0.000 0.000
Fe 0.333 0.667 0.667
Fe 0.667 0.333 0.333
Sb 0.000 0.000 0.253
Sb 0.000 0.000 0.747
Sb 0.333 0.667 0.414
Sb 0.333 0.667 0.920
Sb 0.667 0.333 0.080
Sb 0.667 0.333 0.586
Rh 0.000 0.000 0.500
Rh 0.333 0.667 0.167
Rh 0.667 0.333 0.833

Values from the calculation:
Total energy in hartree per atom: -0.2186
N(E_F) in states/eV/f.u.: 4.1
Symmetry: No. 166


# 6
Density functional theory data (PBE) for FeSb2Rh after structural relaxation.

a = 4.626 Å, b = 4.626 Å, c = 3.318 Å
α = 90.00°, β = 90.00°, γ = 90.00°
Atoms (fractional coordinates):
Fe 0.000 0.000 0.000
Sb 0.000 0.500 0.500
Sb 0.500 0.000 0.500
Rh 0.500 0.500 0.000

Values from the calculation:
Total energy in hartree per atom: -0.2186
N(E_F) in states/eV/f.u.: 2.7
Symmetry: No. 123


# 7
Density functional theory data (PBE) for FeSb2Rh after structural relaxation.

a = 4.157 Å, b = 3.566 Å, c = 9.883 Å
α = 90.00°, β = 90.00°, γ = 90.00°
Atoms (fractional coordinates):
Fe 0.000 0.000 0.000
Fe 0.000 0.500 0.500
Sb 0.000 0.000 0.276
Sb 0.000 0.500 0.776
Sb 0.500 0.000 0.558
Sb 0.500 0.500 0.058
Rh 0.500 0.000 0.836
Rh 0.500 0.500 0.336

Values from the calculation:
Total energy in hartree per atom: -0.2239
N(E_F) in states/eV/f.u.: 2.7
Symmetry: No. 38


# 8
Density functional theory data (PBE) for FeSb2Rh after structural relaxation.

a = 3.652 Å, b = 3.652 Å, c = 5.381 Å
α = 90.00°, β = 90.00°, γ = 90.00°
Atoms (fractional coordinates):
Fe 0.000 0.000 0.000
Sb 0.000 0.000 0.488
Sb 0.500 0.500 0.859
Rh 0.500 0.500 0.346

Values from the calculation:
Total energy in hartree per atom: -0.2225
N(E_F) in states/eV/f.u.: 1.6
Symmetry: No. 99


# 9
Density functional theory data (PBE) for FeSbRh after structural relaxation.

a = 4.299 Å, b = 4.299 Å, c = 3.018 Å
α = 90.00°, β = 90.00°, γ = 120.00°
Atoms (fractional coordinates):
Fe 0.000 0.000 0.000
Sb 0.667 0.333 0.708
Rh 0.333 0.667 0.424

Values from the calculation:
Total energy in hartree per atom: -0.2417
N(E_F) in states/eV/f.u.: 3.0
Symmetry: No. 156


# 10
Density functional theory data (PBE) for FeSbRh3 after structural relaxation.

a = 4.512 Å, b = 4.512 Å, c = 4.512 Å
α = 90.00°, β = 90.00°, γ = 90.00°
Atoms (fractional coordinates):
Fe 0.000 0.000 0.000
Sb 0.500 0.500 0.500
Rh 0.000 0.000 0.500
Rh 0.000 0.500 0.000
Rh 0.500 0.000 0.000

Values from the calculation:
Energy relative to the lowest polymorph listed for this composition in meV/atom: 0.0
N(E_F) in states/eV/f.u.: 8.6
Symmetry: No. 221


# 11
Density functional theory data (PBE) for FeSb2Rh after structural relaxation.

a = 6.585 Å, b = 6.585 Å, c = 6.585 Å
α = 90.00°, β = 90.00°, γ = 90.00°
Atoms (fractional coordinates):
Fe 0.000 0.000 0.000
Fe 0.000 0.500 0.500
Fe 0.500 0.000 0.500
Fe 0.500 0.500 0.000
Sb 0.250 0.250 0.250
Sb 0.250 0.250 0.750
Sb 0.250 0.750 0.250
Sb 0.250 0.750 0.750
Sb 0.750 0.250 0.250
Sb 0.750 0.250 0.750
Sb 0.750 0.750 0.250
Sb 0.750 0.750 0.750
Rh 0.000 0.000 0.500
Rh 0.000 0.500 0.000
Rh 0.500 0.000 0.000
Rh 0.500 0.500 0.500

Values from the calculation:
Total energy in hartree per atom: -0.2185
N(E_F) in states/eV/f.u.: 2.1
Symmetry: No. 225


# 12
Density functional theory data (PBE) for FeSb2Rh after structural relaxation.

a = 6.736 Å, b = 6.736 Å, c = 6.736 Å
α = 90.00°, β = 90.00°, γ = 90.00°
Atoms (fractional coordinates):
Fe 0.000 0.000 0.000
Fe 0.000 0.500 0.500
Fe 0.500 0.000 0.500
Fe 0.500 0.500 0.000
Sb 0.000 0.000 0.500
Sb 0.000 0.500 0.000
Sb 0.250 0.250 0.750
Sb 0.250 0.750 0.250
Sb 0.500 0.000 0.000
Sb 0.500 0.500 0.500
Sb 0.750 0.250 0.250
Sb 0.750 0.750 0.750
Rh 0.250 0.250 0.250
Rh 0.250 0.750 0.750
Rh 0.750 0.250 0.750
Rh 0.750 0.750 0.250

Values from the calculation:
Total energy in hartree per atom: -0.2047
N(E_F) in states/eV/f.u.: 2.8
Symmetry: No. 216


# 13
Density functional theory data (PBE) for FeSbRh after structural relaxation.

a = 3.126 Å, b = 3.820 Å, c = 8.078 Å
α = 90.00°, β = 90.00°, γ = 90.00°
Atoms (fractional coordinates):
Fe 0.000 0.000 0.000
Fe 0.500 0.500 0.500
Sb 0.000 0.000 0.326
Sb 0.500 0.500 0.826
Rh 0.000 0.000 0.658
Rh 0.500 0.500 0.158

Values from the calculation:
Total energy in hartree per atom: -0.2436
N(E_F) in states/eV/f.u.: 3.2
Symmetry: No. 44


# 14
Density functional theory data (PBE) for FeSb4Rh after structural relaxation.

a = 6.003 Å, b = 6.003 Å, c = 6.003 Å
α = 60.00°, β = 60.00°, γ = 60.00°
Atoms (fractional coordinates):
Fe 0.000 0.000 0.000
Sb 0.375 0.375 0.375
Sb 0.375 0.375 0.876
Sb 0.375 0.876 0.375
Sb 0.876 0.375 0.375
Rh 0.750 0.750 0.750

Values from the calculation:
Total energy in hartree per atom: -0.1606
N(E_F) in states/eV/f.u.: 8.6
Symmetry: No. 216


# 15
Density functional theory data (PBE) for FeSb2Rh after structural relaxation.

a = 4.407 Å, b = 4.407 Å, c = 16.370 Å
α = 90.00°, β = 90.00°, γ = 90.00°
Atoms (fractional coordinates):
Fe 0.000 0.000 0.000
Fe 0.000 0.500 0.250
Fe 0.500 0.000 0.750
Fe 0.500 0.500 0.500
Sb 0.239 0.250 0.125
Sb 0.250 0.739 0.375
Sb 0.250 0.761 0.875
Sb 0.261 0.250 0.625
Sb 0.739 0.750 0.625
Sb 0.750 0.239 0.875
Sb 0.750 0.261 0.375
Sb 0.761 0.750 0.125
Rh 0.000 0.000 0.500
Rh 0.000 0.500 0.750
Rh 0.500 0.000 0.250
Rh 0.500 0.500 0.000

Values from the calculation:
Total energy in hartree per atom: -0.2122
N(E_F) in states/eV/f.u.: 4.8
Symmetry: No. 122


# 16
Density functional theory data (PBE) for FeSb2Rh after structural relaxation.

a = 3.166 Å, b = 4.117 Å, c = 13.027 Å
α = 90.00°, β = 90.00°, γ = 90.00°
Atoms (fractional coordinates):
Fe 0.000 0.000 0.000
Fe 0.500 0.500 0.500
Sb 0.000 0.000 0.442
Sb 0.000 0.500 0.696
Sb 0.500 0.000 0.196
Sb 0.500 0.500 0.942
Rh 0.000 0.500 0.120
Rh 0.500 0.000 0.620

Values from the calculation:
Total energy in hartree per atom: -0.2185
N(E_F) in states/eV/f.u.: 4.6
Symmetry: No. 44


# 17
Density functional theory data (PBE) for FeSbRh4 after structural relaxation.

a = 5.172 Å, b = 5.172 Å, c = 5.172 Å
α = 60.00°, β = 60.00°, γ = 60.00°
Atoms (fractional coordinates):
Fe 0.000 0.000 0.000
Sb 0.250 0.250 0.250
Rh 0.124 0.625 0.625
Rh 0.625 0.124 0.625
Rh 0.625 0.625 0.124
Rh 0.625 0.625 0.625

Values from the calculation:
Total energy in hartree per atom: -0.2475
N(E_F) in states/eV/f.u.: 6.4
Symmetry: No. 216


# 18
Density functional theory data (PBE) for FeSb6Rh after structural relaxation.

a = 8.025 Å, b = 8.025 Å, c = 9.267 Å
α = 125.20°, β = 125.20°, γ = 70.65°
Atoms (fractional coordinates):
Fe 0.000 0.500 0.000
Fe 0.500 0.000 0.000
Sb 0.151 0.836 0.157
Sb 0.164 0.849 0.843
Sb 0.179 0.506 0.336
Sb 0.332 0.332 0.992
Sb 0.343 0.343 0.688
Sb 0.494 0.821 0.664
Sb 0.506 0.179 0.336
Sb 0.657 0.657 0.312
Sb 0.668 0.668 0.008
Sb 0.821 0.494 0.664
Sb 0.836 0.151 0.157
Sb 0.849 0.164 0.843
Rh 0.000 0.500 0.500
Rh 0.500 0.000 0.500

Values from the calculation:
Total energy in hartree per atom: -0.1940
N(E_F) in states/eV/f.u.: 6.3
Symmetry: No. 12


# 19
Density functional theory data (PBE) for FeSb2Rh after structural relaxation.

a = 3.264 Å, b = 3.264 Å, c = 7.590 Å
α = 90.00°, β = 90.00°, γ = 90.00°
Atoms (fractional coordinates):
Fe 0.000 0.000 0.000
Sb 0.000 0.000 0.381
Sb 0.500 0.500 0.796
Rh 0.500 0.500 0.177

Values from the calculation:
Total energy in hartree per atom: -0.2205
N(E_F) in states/eV/f.u.: 5.0
Symmetry: No. 99


# 20
Density functional theory data (PBE) for FeSbTe2Rh after structural relaxation.

a = 4.962 Å, b = 4.962 Å, c = 4.762 Å
α = 90.00°, β = 90.00°, γ = 90.00°
Atoms (fractional coordinates):
Fe 0.000 0.000 0.000
Sb 0.000 0.000 0.500
Te 0.000 0.500 0.000
Te 0.500 0.000 0.000
Rh 0.500 0.500 0.500

Values from the calculation:
Energy relative to the lowest polymorph listed for this composition in meV/atom: 0.0
N(E_F) in states/eV/f.u.: 5.4
Symmetry: No. 123


# 21
Density functional theory data (PBE) for FeSbRhW2 after structural relaxation.

a = 4.434 Å, b = 4.434 Å, c = 4.669 Å
α = 90.00°, β = 90.00°, γ = 90.00°
Atoms (fractional coordinates):
Fe 0.000 0.000 0.000
Sb 0.500 0.500 0.500
Rh 0.000 0.000 0.500
W 0.000 0.500 0.000
W 0.500 0.000 0.000

Values from the calculation:
Total energy in hartree per atom: -0.2931
N(E_F) in states/eV/f.u.: 7.2
Symmetry: No. 123


# 22
Density functional theory data (PBE) for Sc2FeRh after structural relaxation.

a = 3.156 Å, b = 3.183 Å, c = 6.376 Å
α = 90.00°, β = 90.00°, γ = 90.00°
Atoms (fractional coordinates):
Sc 0.000 0.000 0.240
Sc 0.000 0.000 0.760
Fe 0.500 0.500 0.000
Rh 0.500 0.500 0.500

Values from the calculation:
Formation energy in kJ/mol of formula units: -206
N(E_F) in states/eV/f.u.: 3.8
Symmetry: No. 47


# 23
Density functional theory data (PBE) for Sc2FeRh after structural relaxation.

a = 3.212 Å, b = 4.335 Å, c = 9.614 Å
α = 90.00°, β = 90.00°, γ = 90.00°
Atoms (fractional coordinates):
Sc 0.000 0.000 0.000
Sc 0.000 0.500 0.225
Sc 0.500 0.000 0.725
Sc 0.500 0.500 0.500
Fe 0.000 0.500 0.749
Fe 0.500 0.000 0.249
Rh 0.000 0.000 0.474
Rh 0.500 0.500 0.974

Values from the calculation:
Formation energy in kJ/mol of formula units: -148
N(E_F) in states/eV/f.u.: 3.3
Symmetry: No. 44


# 24
Density functional theory data (PBE) for ScFeRh14 after structural relaxation.

a = 5.440 Å, b = 5.440 Å, c = 7.756 Å
α = 90.00°, β = 90.00°, γ = 90.00°
Atoms (fractional coordinates):
Sc 0.000 0.000 0.000
Fe 0.500 0.500 0.000
Rh 0.000 0.000 0.500
Rh 0.000 0.500 0.000
Rh 0.000 0.500 0.500
Rh 0.253 0.253 0.253
Rh 0.253 0.253 0.747
Rh 0.253 0.747 0.253
Rh 0.253 0.747 0.747
Rh 0.500 0.000 0.000
Rh 0.500 0.000 0.500
Rh 0.500 0.500 0.500
Rh 0.747 0.253 0.253
Rh 0.747 0.253 0.747
Rh 0.747 0.747 0.253
Rh 0.747 0.747 0.747

Values from the calculation:
Formation energy in kJ/mol of formula units: -215
N(E_F) in states/eV/f.u.: 20.6
Symmetry: No. 123


# 25
Density functional theory data (PBE) for ScFeRh2 after structural relaxation.

a = 3.866 Å, b = 3.866 Å, c = 17.086 Å
α = 90.00°, β = 90.00°, γ = 90.00°
Atoms (fractional coordinates):
Sc 0.000 0.000 0.000
Sc 0.000 0.500 0.250
Sc 0.500 0.000 0.750
Sc 0.500 0.500 0.500
Fe 0.000 0.000 0.500
Fe 0.000 0.500 0.750
Fe 0.500 0.000 0.250
Fe 0.500 0.500 0.000
Rh 0.221 0.250 0.625
Rh 0.250 0.721 0.875
Rh 0.250 0.779 0.375
Rh 0.279 0.250 0.125
Rh 0.721 0.750 0.125
Rh 0.750 0.221 0.375
Rh 0.750 0.279 0.875
Rh 0.779 0.750 0.625

Values from the calculation:
Formation energy in kJ/mol of formula units: 54
N(E_F) in states/eV/f.u.: 10.3
Symmetry: No. 122


# 26
Density functional theory data (PBE) for Sc2FeRh after structural relaxation.

a = 3.112 Å, b = 3.112 Å, c = 23.761 Å
α = 90.00°, β = 90.00°, γ = 120.00°
Atoms (fractional coordinates):
Sc 0.000 0.000 0.246
Sc 0.000 0.000 0.754
Sc 0.333 0.667 0.420
Sc 0.333 0.667 0.913
Sc 0.667 0.333 0.087
Sc 0.667 0.333 0.580
Fe 0.000 0.000 0.500
Fe 0.333 0.667 0.167
Fe 0.667 0.333 0.833
Rh 0.000 0.000 0.000
Rh 0.333 0.667 0.667
Rh 0.667 0.333 0.333

Values from the calculation:
Formation energy in kJ/mol of formula units: -65
N(E_F) in states/eV/f.u.: 4.1
Symmetry: No. 166


# 27
Density functional theory data (PBE) for ScFeRh2 after structural relaxation.

a = 2.838 Å, b = 4.342 Å, c = 10.344 Å
α = 90.00°, β = 90.00°, γ = 90.00°
Atoms (fractional coordinates):
Sc 0.000 0.000 0.000
Sc 0.500 0.500 0.500
Fe 0.000 0.000 0.500
Fe 0.500 0.500 0.000
Rh 0.000 0.000 0.280
Rh 0.000 0.000 0.720
Rh 0.500 0.500 0.220
Rh 0.500 0.500 0.780

Values from the calculation:
Formation energy in kJ/mol of formula units: 35
N(E_F) in states/eV/f.u.: 4.4
Symmetry: No. 71


# 28
Density functional theory data (PBE) for Sc2FeRh after structural relaxation.

a = 3.048 Å, b = 3.048 Å, c = 27.142 Å
α = 90.00°, β = 90.00°, γ = 120.00°
Atoms (fractional coordinates):
Sc 0.000 0.000 0.092
Sc 0.000 0.000 0.908
Sc 0.333 0.667 0.575
Sc 0.333 0.667 0.758
Sc 0.667 0.333 0.242
Sc 0.667 0.333 0.425
Fe 0.000 0.000 0.000
Fe 0.333 0.667 0.667
Fe 0.667 0.333 0.333
Rh 0.000 0.000 0.500
Rh 0.333 0.667 0.167
Rh 0.667 0.333 0.833

Values from the calculation:
Formation energy in kJ/mol of formula units: 30
N(E_F) in states/eV/f.u.: 2.2
Symmetry: No. 166